A.
Below is AcPm7Dy12 after structural relaxation, with properties calculated at the PBE level.

a b c (Å): 9.8461 9.8461 9.8461
angles (deg): 109.47 109.47 109.47
Last column: nearest neighbours and their distance in Å.
Sites, in units of the cell vectors:
Ac (0.0000, 0.0000, 0.0000)  12 Dy 4.11
Pm (0.0000, 0.0000, 0.5000)  6 Dy 2.84
Pm (0.0000, 0.5000, 0.0000)  6 Dy 2.84
Pm (0.0000, 0.5000, 0.5000)  12 Dy 3.93-4.02
Pm (0.5000, 0.0000, 0.0000)  6 Dy 2.84
Pm (0.5000, 0.0000, 0.5000)  12 Dy 3.93-4.02
Pm (0.5000, 0.5000, 0.0000)  12 Dy 3.93-4.02
Pm (0.5000, 0.5000, 0.5000)  6 Dy 2.84
Dy (0.0000, 0.2555, 0.7445)  2 Pm 2.84
Dy (0.0000, 0.7445, 0.2555)  2 Pm 2.84
Dy (0.2555, 0.0000, 0.7445)  2 Pm 2.84
Dy (0.2555, 0.2555, 0.5111)  2 Pm 2.84
Dy (0.2555, 0.5111, 0.2555)  2 Pm 2.84
Dy (0.2555, 0.7445, 0.0000)  2 Pm 2.84
Dy (0.4889, 0.7445, 0.7445)  2 Pm 2.84
Dy (0.5111, 0.2555, 0.2555)  2 Pm 2.84
Dy (0.7445, 0.0000, 0.2555)  2 Pm 2.84
Dy (0.7445, 0.2555, 0.0000)  2 Pm 2.84
Dy (0.7445, 0.4889, 0.7445)  2 Pm 2.84
Dy (0.7445, 0.7445, 0.4889)  2 Pm 2.84

calculated density = 7.21 g/cm³
D(E_F) = 27.31 states/eV per cell
SG = No. 229

B.
Below is AcPm7Dy12 after structural relaxation, with properties calculated at the PBE level.

a b c (Å): 8.8241 8.8241 8.8241
angles (deg): 86.67 86.67 86.67
Last column: nearest neighbours and their distance in Å.
Sites, in units of the cell vectors:
Ac (0.0000, 0.0000, 0.0000)  6 Dy 3.59, 6 Pm 3.92
Pm (0.0656, 0.1572, 0.3963)  6 Dy 3.44-3.84, 3 Pm 3.45-3.58
Pm (0.1572, 0.3963, 0.0656)  6 Dy 3.44-3.84, 3 Pm 3.45-3.58
Pm (0.3963, 0.0656, 0.1572)  6 Dy 3.44-3.84, 3 Pm 3.45-3.58
Pm (0.5000, 0.5000, 0.5000)  6 Dy 3.37
Pm (0.6037, 0.9344, 0.8428)  6 Dy 3.44-3.84, 3 Pm 3.45-3.58
Pm (0.8428, 0.6037, 0.9344)  6 Dy 3.44-3.84, 3 Pm 3.45-3.58
Pm (0.9344, 0.8428, 0.6037)  6 Dy 3.44-3.84, 3 Pm 3.45-3.58
Dy (0.1314, 0.4947, 0.6245)  5 Dy 3.24-3.59, 2 Pm 3.37-3.44
Dy (0.1505, 0.7291, 0.2787)  4 Dy 3.24-3.59, 2 Pm 3.51-3.57, 1 Ac 3.59
Dy (0.2709, 0.7213, 0.8495)  4 Dy 3.24-3.59, 2 Pm 3.51-3.57, 1 Ac 3.59
Dy (0.2787, 0.1505, 0.7291)  4 Dy 3.24-3.59, 2 Pm 3.51-3.57, 1 Ac 3.59
Dy (0.3755, 0.8686, 0.5053)  5 Dy 3.24-3.59, 2 Pm 3.37-3.44
Dy (0.4947, 0.6245, 0.1314)  5 Dy 3.24-3.59, 2 Pm 3.37-3.44
Dy (0.5053, 0.3755, 0.8686)  5 Dy 3.24-3.59, 2 Pm 3.37-3.44
Dy (0.6245, 0.1314, 0.4947)  5 Dy 3.24-3.59, 2 Pm 3.37-3.44
Dy (0.7213, 0.8495, 0.2709)  4 Dy 3.24-3.59, 2 Pm 3.51-3.57, 1 Ac 3.59
Dy (0.7291, 0.2787, 0.1505)  4 Dy 3.24-3.59, 2 Pm 3.51-3.57, 1 Ac 3.59
Dy (0.8495, 0.2709, 0.7213)  4 Dy 3.24-3.59, 2 Pm 3.51-3.57, 1 Ac 3.59
Dy (0.8686, 0.5053, 0.3755)  5 Dy 3.24-3.59, 2 Pm 3.37-3.44

calculated density = 7.75 g/cm³
D(E_F) = 36.68 states/eV per cell
SG = No. 148

Energies in eV/atom, measured from the most stable structure: A 0.384; B 0.000.

A.
Below is AcPm7Dy4 after structural relaxation, with properties calculated at the PBE level.

a b c (Å): 6.3592 7.3451 9.0608
angles (deg): 90.06 103.64 90.02
Last column: nearest neighbours and their distance in Å.
Sites, in units of the cell vectors:
Ac (0.0000, 0.0000, 0.0000)  2 Dy 3.66, 10 Pm 3.67-3.69
Pm (0.0000, 0.5000, 0.0000)  4 Dy 3.62, 6 Pm 3.63-3.65, 2 Ac 3.67
Pm (0.2251, 0.9993, 0.6619)  6 Pm 3.57-3.73, 5 Dy 3.59-3.72, 1 Ac 3.67
Pm (0.2819, 0.7455, 0.3371)  6 Dy 3.56-3.75, 5 Pm 3.57-3.73, 1 Ac 3.67
Pm (0.5002, 0.2557, 0.0009)  7 Pm 3.59-3.76, 3 Dy 3.61-3.63, 2 Ac 3.69
Pm (0.4998, 0.7443, 0.9991)  7 Pm 3.59-3.76, 3 Dy 3.61-3.63, 2 Ac 3.69
Pm (0.7181, 0.2545, 0.6629)  6 Dy 3.56-3.75, 5 Pm 3.57-3.73, 1 Ac 3.67
Pm (0.7749, 0.0007, 0.3381)  6 Pm 3.57-3.73, 5 Dy 3.59-3.72, 1 Ac 3.67
Dy (0.2176, 0.4995, 0.6651)  4 Dy 3.56-3.67, 8 Pm 3.58-3.67
Dy (0.2799, 0.2563, 0.3358)  8 Pm 3.56-3.75, 3 Dy 3.58-3.67, 1 Ac 3.66
Dy (0.7201, 0.7437, 0.6642)  8 Pm 3.56-3.75, 3 Dy 3.58-3.67, 1 Ac 3.66
Dy (0.7824, 0.5005, 0.3349)  4 Dy 3.56-3.67, 8 Pm 3.58-3.67

calculated density = 7.64 g/cm³
D(E_F) = 17.94 states/eV per cell
SG = No. 2

B.
Below is AcPm7Dy4 after structural relaxation, with properties calculated at the PBE level.

a b c (Å): 6.8877 6.8877 12.7273
angles (deg): 115.59 115.59 53.19
Last column: nearest neighbours and their distance in Å.
Sites, in units of the cell vectors:
Ac (0.0000, 0.0000, 0.0000)  4 Pm 3.08-3.28
Pm (0.0559, 0.0559, 0.3388)  4 Pm 3.35-3.60, 3 Dy 3.70-3.71
Pm (0.2146, 0.2146, 0.9174)  2 Pm 3.15-3.35, 4 Dy 3.27-3.47, 1 Ac 3.28
Pm (0.3703, 0.3703, 0.4954)  2 Pm 3.14-3.39, 3 Dy 3.31-3.46
Pm (0.5000, 0.5000, 0.0000)  2 Ac 3.08, 2 Pm 3.15
Pm (0.6297, 0.6297, 0.5046)  2 Pm 3.14-3.39, 3 Dy 3.31-3.46
Pm (0.7854, 0.7854, 0.0826)  2 Pm 3.15-3.35, 4 Dy 3.27-3.47, 1 Ac 3.28
Pm (0.9441, 0.9441, 0.6612)  4 Pm 3.35-3.60, 3 Dy 3.70-3.71
Dy (0.2547, 0.2547, 0.6819)  2 Pm 3.27-3.31
Dy (0.3699, 0.3699, 0.2243)  7 Pm 3.42-3.70
Dy (0.6301, 0.6301, 0.7757)  7 Pm 3.42-3.70
Dy (0.7453, 0.7453, 0.3181)  2 Pm 3.27-3.31

calculated density = 7.42 g/cm³
D(E_F) = 17.57 states/eV per cell
SG = No. 12

Energies in eV/atom, measured from the most stable structure: A 0.000; B 0.262.

A.
Below is AcPm6Dy2 after structural relaxation, with properties calculated at the PBE level.

a b c (Å): 9.7469 9.7469 9.1106
angles (deg): 103.49 103.49 21.90
Last column: nearest neighbours and their distance in Å.
Sites, in units of the cell vectors:
Ac (0.0000, 0.0000, 0.0000)  4 Dy 3.67, 6 Pm 3.68-3.73, 2 Ac 3.70
Pm (0.0744, 0.0744, 0.6624)  7 Pm 3.59-3.70, 4 Dy 3.59-3.71, 1 Ac 3.68
Pm (0.2582, 0.2582, 0.3348)  3 Dy 3.60-3.66, 9 Pm 3.61-3.70
Pm (0.3312, 0.3312, 0.0005)  9 Pm 3.62-3.70, 1 Dy 3.69, 2 Ac 3.73
Pm (0.6688, 0.6688, 0.9995)  9 Pm 3.62-3.70, 1 Dy 3.69, 2 Ac 3.73
Pm (0.7418, 0.7418, 0.6652)  3 Dy 3.60-3.66, 9 Pm 3.61-3.70
Pm (0.9256, 0.9256, 0.3376)  7 Pm 3.59-3.70, 4 Dy 3.59-3.71, 1 Ac 3.68
Dy (0.4065, 0.4065, 0.6630)  8 Pm 3.59-3.71, 2 Ac 3.67, 2 Dy 3.70
Dy (0.5935, 0.5935, 0.3370)  8 Pm 3.59-3.71, 2 Ac 3.67, 2 Dy 3.70

calculated density = 7.53 g/cm³
D(E_F) = 13.04 states/eV per cell
SG = No. 12

B.
Below is AcPm6Dy2 after structural relaxation, with properties calculated at the PBE level.

a b c (Å): 3.6742 3.6742 27.2099
angles (deg): 90.00 90.00 120.00
Last column: nearest neighbours and their distance in Å.
Sites, in units of the cell vectors:
Ac (0.0000, 0.0000, 0.0000)  6 Ac 3.67, 6 Pm 3.82
Pm (0.0000, 0.0000, 0.2245)  3 Dy 3.61, 9 Pm 3.61-3.67
Pm (0.0000, 0.0000, 0.4346)  3 Dy 3.51, 7 Pm 3.56-3.67
Pm (0.0000, 0.0000, 0.5654)  3 Dy 3.51, 7 Pm 3.56-3.67
Pm (0.0000, 0.0000, 0.7755)  3 Dy 3.61, 9 Pm 3.61-3.67
Pm (0.3333, 0.6667, 0.1169)  9 Pm 3.61-3.67, 3 Ac 3.82
Pm (0.3333, 0.6667, 0.8831)  9 Pm 3.61-3.67, 3 Ac 3.82
Dy (0.3333, 0.6667, 0.3320)  6 Pm 3.51-3.61, 6 Dy 3.67
Dy (0.3333, 0.6667, 0.6680)  6 Pm 3.51-3.61, 6 Dy 3.67

calculated density = 7.42 g/cm³
D(E_F) = 14.29 states/eV per cell
SG = No. 187

Energies in eV/atom, measured from the most stable structure: A 0.000; B 0.053.

A.
Below is Ac2Pm6Dy after structural relaxation, with properties calculated at the PBE level.

a b c (Å): 9.3205 9.3205 9.2820
angles (deg): 113.11 113.11 66.12
Last column: nearest neighbours and their distance in Å.
Sites, in units of the cell vectors:
Ac (0.0182, 0.1702, 0.1812)  6 Pm 3.45-3.81, 2 Ac 3.62-3.72
Ac (0.1702, 0.0182, 0.6812)  6 Pm 3.45-3.81, 2 Ac 3.62-3.72
Ac (0.8298, 0.9818, 0.3188)  6 Pm 3.45-3.81, 2 Ac 3.62-3.72
Ac (0.9818, 0.8298, 0.8188)  6 Pm 3.45-3.81, 2 Ac 3.62-3.72
Pm (0.0928, 0.5784, 0.4204)  1 Dy 3.59, 9 Pm 3.61-4.00, 3 Ac 3.77-3.81
Pm (0.1715, 0.3534, 0.0182)  3 Pm 3.26-3.54, 2 Ac 3.45-3.60, 1 Dy 3.64
Pm (0.3363, 0.4996, 0.8371)  4 Pm 3.32-3.62, 1 Ac 3.49
Pm (0.3534, 0.1715, 0.5182)  3 Pm 3.26-3.54, 2 Ac 3.45-3.60, 1 Dy 3.64
Pm (0.4216, 0.9072, 0.0796)  1 Dy 3.59, 9 Pm 3.61-4.00, 3 Ac 3.77-3.81
Pm (0.4996, 0.3363, 0.3371)  4 Pm 3.32-3.62, 1 Ac 3.49
Pm (0.5004, 0.6637, 0.6629)  4 Pm 3.32-3.62, 1 Ac 3.49
Pm (0.5784, 0.0928, 0.9204)  1 Dy 3.59, 9 Pm 3.61-4.00, 3 Ac 3.77-3.81
Pm (0.6466, 0.8285, 0.4818)  3 Pm 3.26-3.54, 2 Ac 3.45-3.60, 1 Dy 3.64
Pm (0.6637, 0.5004, 0.1629)  4 Pm 3.32-3.62, 1 Ac 3.49
Pm (0.8285, 0.6466, 0.9818)  3 Pm 3.26-3.54, 2 Ac 3.45-3.60, 1 Dy 3.64
Pm (0.9072, 0.4216, 0.5796)  1 Dy 3.59, 9 Pm 3.61-4.00, 3 Ac 3.77-3.81
Dy (0.2594, 0.7406, 0.2500)  8 Pm 3.59-3.79, 4 Ac 3.88-4.02
Dy (0.7406, 0.2594, 0.7500)  8 Pm 3.59-3.79, 4 Ac 3.88-4.02

calculated density = 7.58 g/cm³
D(E_F) = 26.86 states/eV per cell
SG = No. 15

B.
Below is Ac2Pm6Dy after structural relaxation, with properties calculated at the PBE level.

a b c (Å): 7.3345 7.3345 7.1397
angles (deg): 90.01 90.01 60.04
Last column: nearest neighbours and their distance in Å.
Sites, in units of the cell vectors:
Ac (0.1658, 0.1658, 0.1725)  12 Pm 3.81-4.14
Ac (0.8342, 0.8342, 0.8275)  12 Pm 3.81-4.14
Pm (0.1400, 0.6781, 0.3195)  1 Dy 3.23, 4 Pm 3.38-3.46
Pm (0.3213, 0.3213, 0.6814)  1 Dy 3.21, 4 Pm 3.38-3.44
Pm (0.3219, 0.8600, 0.6805)  1 Dy 3.23, 4 Pm 3.38-3.46
Pm (0.6781, 0.1400, 0.3195)  1 Dy 3.23, 4 Pm 3.38-3.46
Pm (0.6787, 0.6787, 0.3186)  1 Dy 3.21, 4 Pm 3.38-3.44
Pm (0.8600, 0.3219, 0.6805)  1 Dy 3.23, 4 Pm 3.38-3.46
Dy (0.5000, 0.5000, 0.0000)  6 Pm 3.21-3.23

calculated density = 7.42 g/cm³
D(E_F) = 17.32 states/eV per cell
SG = No. 12

Energies in eV/atom, measured from the most stable structure: A 0.000; B 0.064.